## LaNbCo2Bi2 (PBE-GGA)

Data for crystalline LaNbCo2Bi2 at its relaxed geometry.

Summary:
E	-77.687	eV per cell
symmetry	No. 31
volume	21.74	A^3/atom
mass density	9.771	g cm⁻³

a b c (Å): 6.4267 4.4535 9.1165
angles (deg): 90.00 90.00 90.00
Atoms (fractional coordinates):
1 Bi 0.0103 0.5000 0.6472
2 La 0.0088 0.0000 0.3789
3 Co 0.2811 0.5000 0.3319
4 Co 0.7328 0.0000 0.1051
5 Co 0.7811 0.0000 0.6681
6 Bi 0.9798 0.5000 0.1158
7 Co 0.2328 0.5000 0.8949
8 Nb 0.4872 0.5000 0.1171
9 Bi 0.4798 0.0000 0.8842
10 Nb 0.9872 0.0000 0.8829
11 Bi 0.5103 0.0000 0.3528
12 La 0.5088 0.5000 0.6211



## LaNdCo2Bi4 (PBE-GGA)

Data for crystalline LaNdCo2Bi4 at its relaxed geometry.

Summary:
E	-43.434	eV per cell
symmetry	No. 99
volume	25.62	A^3/atom
mass density	10.020	g cm⁻³

a b c (Å): 4.5688 4.5688 9.8201
angles (deg): 90.00 90.00 90.00
Atoms (fractional coordinates):
1 Co 0.0000 0.5000 0.9979
2 Bi 0.0000 0.0000 0.1377
3 La 0.5000 0.5000 0.2289
4 Co 0.5000 0.0000 0.9979
5 Bi 0.5000 0.5000 0.8570
6 Bi 0.5000 0.0000 0.5042
7 Bi 0.0000 0.5000 0.5042
8 Nd 0.0000 0.0000 0.7722



## LaPrCo2Bi4 (PBE-GGA)

Data for crystalline LaPrCo2Bi4 at its relaxed geometry.

Summary:
E	-43.462	eV per cell
symmetry	No. 99
volume	25.84	A^3/atom
mass density	9.909	g cm⁻³

a b c (Å): 4.5807 4.5807 9.8525
angles (deg): 90.00 90.00 90.00
Atoms (fractional coordinates):
1 Co 0.5000 0.0000 0.9992
2 Co 0.0000 0.5000 0.9992
3 Bi 0.5000 0.5000 0.8587
4 Bi 0.5000 0.0000 0.5025
5 Pr 0.0000 0.0000 0.7712
6 Bi 0.0000 0.0000 0.1381
7 Bi 0.0000 0.5000 0.5025
8 La 0.5000 0.5000 0.2285



## LiCoBi2 (PBE-GGA)

Data for crystalline LiCoBi2 at its relaxed geometry.

Summary:
E	-15.319	eV per cell
symmetry	No. 216
volume	21.99	A^3/atom
mass density	9.133	g cm⁻³

a b c (Å): 4.9921 4.9921 4.9921
angles (deg): 60.00 60.00 60.00
Atoms (fractional coordinates):
1 Li 0.5000 0.5000 0.5000
2 Bi 0.7500 0.7500 0.7500
3 Co 0.2500 0.2500 0.2500
4 Bi 0.0000 0.0000 0.0000



## LiMgCoBi (PBE-GGA)

Data for crystalline LiMgCoBi at its relaxed geometry.

Summary:
E	-14.819	eV per cell
symmetry	No. 216
volume	16.71	A^3/atom
energy above the most stable polymorph in this dataset	0.000	eV per atom
mass density	7.431	g cm⁻³

a b c (Å): 4.5556 4.5556 4.5556
angles (deg): 60.00 60.00 60.00
Atoms (fractional coordinates):
1 Co 0.2500 0.2500 0.2500
2 Bi 0.0000 0.0000 0.0000
3 Li 0.7500 0.7500 0.7500
4 Mg 0.5000 0.5000 0.5000



## LiCoNiBi (PBE-GGA)

Data for crystalline LiCoNiBi at its relaxed geometry.

Summary:
E	-18.304	eV per cell
symmetry	No. 216
volume	14.13	A^3/atom
energy above the most stable polymorph in this dataset	0.000	eV per atom
mass density	9.796	g cm⁻³

a b c (Å): 4.3081 4.3081 4.3081
angles (deg): 60.00 60.00 60.00
Atoms (fractional coordinates):
1 Bi 0.0000 0.0000 0.0000
2 Li 0.5000 0.5000 0.5000
3 Co 0.7500 0.7500 0.7500
4 Ni 0.2500 0.2500 0.2500



## LiCoNiBi (PBE-GGA)

Data for crystalline LiCoNiBi at its relaxed geometry.

Summary:
E	-17.938	eV per cell
symmetry	No. 216
volume	14.18	A^3/atom
energy above the most stable polymorph in this dataset	0.092	eV per atom
mass density	9.768	g cm⁻³

a b c (Å): 4.3122 4.3122 4.3122
angles (deg): 60.00 60.00 60.00
Atoms (fractional coordinates):
1 Ni 0.0000 0.0000 0.0000
2 Li 0.5000 0.5000 0.5000
3 Co 0.7500 0.7500 0.7500
4 Bi 0.2500 0.2500 0.2500



## LiCoBiOs (PBE-GGA)

Data for crystalline LiCoBiOs at its relaxed geometry.

Summary:
E	-22.306	eV per cell
symmetry	No. 216
volume	15.05	A^3/atom
energy above the most stable polymorph in this dataset	0.000	eV per atom
mass density	12.829	g cm⁻³

a b c (Å): 4.3991 4.3991 4.3991
angles (deg): 60.00 60.00 60.00
Atoms (fractional coordinates):
1 Li 0.5000 0.5000 0.5000
2 Os 0.2500 0.2500 0.2500
3 Bi 0.0000 0.0000 0.0000
4 Co 0.7500 0.7500 0.7500



## LiCoBiPd (PBE-GGA)

Data for crystalline LiCoBiPd at its relaxed geometry.

Summary:
E	-18.648	eV per cell
symmetry	No. 216
volume	15.72	A^3/atom
energy above the most stable polymorph in this dataset	0.000	eV per atom
mass density	10.069	g cm⁻³

a b c (Å): 4.4635 4.4635 4.4635
angles (deg): 60.00 60.00 60.00
Atoms (fractional coordinates):
1 Pd 0.5000 0.5000 0.5000
2 Li 0.2500 0.2500 0.2500
3 Bi 0.0000 0.0000 0.0000
4 Co 0.7500 0.7500 0.7500



## LiCoBiPt (PBE-GGA)

Data for crystalline LiCoBiPt at its relaxed geometry.

Summary:
E	-19.458	eV per cell
symmetry	No. 216
volume	15.77	A^3/atom
energy above the most stable polymorph in this dataset	0.000	eV per atom
mass density	12.369	g cm⁻³

a b c (Å): 4.4685 4.4685 4.4685
angles (deg): 60.00 60.00 60.00
Atoms (fractional coordinates):
1 Pt 0.5000 0.5000 0.5000
2 Bi 0.0000 0.0000 0.0000
3 Li 0.2500 0.2500 0.2500
4 Co 0.7500 0.7500 0.7500



## LiCoReBi (PBE-GGA)

Data for crystalline LiCoReBi at its relaxed geometry.

Summary:
E	-22.578	eV per cell
symmetry	No. 216
volume	15.48	A^3/atom
energy above the most stable polymorph in this dataset	0.120	eV per atom
mass density	12.362	g cm⁻³

a b c (Å): 4.4409 4.4409 4.4409
angles (deg): 60.00 60.00 60.00
Atoms (fractional coordinates):
1 Co 0.7500 0.7500 0.7500
2 Bi 0.0000 0.0000 0.0000
3 Li 0.5000 0.5000 0.5000
4 Re 0.2500 0.2500 0.2500



## LiCoReBi (PBE-GGA)

Data for crystalline LiCoReBi at its relaxed geometry.

Summary:
E	-23.059	eV per cell
symmetry	No. 216
volume	15.57	A^3/atom
energy above the most stable polymorph in this dataset	0.000	eV per atom
mass density	12.295	g cm⁻³

a b c (Å): 4.4490 4.4490 4.4490
angles (deg): 60.00 60.00 60.00
Atoms (fractional coordinates):
1 Re 0.5000 0.5000 0.5000
2 Li 0.2500 0.2500 0.2500
3 Co 0.7500 0.7500 0.7500
4 Bi 0.0000 0.0000 0.0000



- What is the volume in the fourth record?
  21.99 A^3/atom